Record 1
! Mn2TlPb, optimized geometry, DFT PBE; values from VASP
&SYSTEM
  ibrav = 0, nat = 4, ntyp = 3
/
ATOMIC_SPECIES
Mn 54.94 Mn.upf
Pb 207.20 Pb.upf
Tl 204.38 Tl.upf
CELL_PARAMETERS angstrom
-1.041 -3.228 -2.618
2.833 -2.093 1.454
-1.855 -2.965 4.393
ATOMIC_POSITIONS crystal
Mn 0.000 0.212 0.948
Mn 0.500 0.037 0.304
Pb 0.000 0.490 0.396
Tl 0.500 0.761 0.852
! - Calculated volume: 21.532 A^3/atom
! - DFT formation energy: 0.50 eV/atom

---

Record 2
! Pm5Sb4S, optimized geometry, DFT PBE; values from VASP
&SYSTEM
  ibrav = 0, nat = 10, ntyp = 3
/
ATOMIC_SPECIES
Pm 145.00 Pm.upf
Sb 121.76 Sb.upf
S 32.06 S.upf
CELL_PARAMETERS angstrom
6.265 0.000 0.000
3.132 6.964 0.000
3.132 0.000 6.964
ATOMIC_POSITIONS crystal
Pm 0.902 0.387 0.810
Pm 0.289 0.810 0.613
Pm 0.713 0.190 0.387
Pm 0.100 0.613 0.190
Pm 0.500 0.000 0.000
Sb 0.406 0.397 0.794
Sb 0.803 0.794 0.603
Sb 0.200 0.206 0.397
Sb 0.596 0.603 0.206
S 0.001 0.000 0.000
! - Energy relative to the lowest polymorph listed for this composition: 0 meV per atom
! - Calculated volume: 30.382 A^3/atom
! - Formation energy (no corrections): -1.33 eV per atom

---

Record 3
! Rb3SBr, optimized geometry, DFT PBE; values from VASP
&SYSTEM
  ibrav = 0, nat = 5, ntyp = 3
/
ATOMIC_SPECIES
S 32.06 S.upf
Br 79.90 Br.upf
Rb 85.47 Rb.upf
CELL_PARAMETERS angstrom
-5.559 -0.580 -2.936
-2.578 -2.219 5.319
-1.521 5.882 1.718
ATOMIC_POSITIONS crystal
S 0.000 0.000 0.000
Br 0.500 0.500 0.500
Rb 0.000 0.500 0.000
Rb 0.000 0.000 0.500
Rb 0.500 0.000 0.000
! - Energy relative to the lowest polymorph listed for this composition: 105 meV per atom
! - Calculated volume: 50.329 A^3/atom
! - Formation energy (no corrections): -1.16 eV per atom

---

Record 4
! NdDyTm2, optimized geometry, DFT PBE; values from VASP
&SYSTEM
  ibrav = 0, nat = 4, ntyp = 3
/
ATOMIC_SPECIES
Nd 144.24 Nd.upf
Dy 162.50 Dy.upf
Tm 168.93 Tm.upf
CELL_PARAMETERS angstrom
-3.374 1.091 -0.118
1.591 -0.198 5.929
3.474 5.482 4.568
ATOMIC_POSITIONS crystal
Nd 0.477 0.310 0.020
Dy 0.726 0.057 0.769
Tm 0.227 0.558 0.272
Tm 0.975 0.808 0.519
! - Energy relative to the lowest polymorph listed for this composition: 11 meV per atom
! - Calculated volume: 31.541 A^3/atom
! - DFT formation energy: 0.02 eV/atom

---

Record 5
! Nd3Y2In, optimized geometry, DFT PBE; values from VASP
&SYSTEM
  ibrav = 0, nat = 6, ntyp = 3
/
ATOMIC_SPECIES
Nd 144.24 Nd.upf
Y 88.91 Y.upf
In 114.82 In.upf
CELL_PARAMETERS angstrom
4.986 0.000 0.000
0.000 4.722 -1.597
0.000 0.090 8.048
ATOMIC_POSITIONS crystal
Nd 0.500 0.169 0.337
Nd 0.500 0.500 0.000
Nd 0.500 0.831 0.663
Y 0.000 0.661 0.322
Y 0.000 0.339 0.678
In 0.000 0.000 0.000
! - Energy relative to the lowest polymorph listed for this composition: 0 meV per atom
! - Calculated volume: 31.704 A^3/atom
! - DFT formation energy: -0.16 eV/atom

---

Record 6
! BeNiW, optimized geometry, DFT PBE; values from VASP
&SYSTEM
  ibrav = 0, nat = 6, ntyp = 3
/
ATOMIC_SPECIES
Be 9.01 Be.upf
W 183.84 W.upf
Ni 58.69 Ni.upf
CELL_PARAMETERS angstrom
5.356 0.004 0.000
1.491 3.712 0.000
0.000 0.000 3.572
ATOMIC_POSITIONS crystal
Be 0.452 0.760 0.712
Be 0.724 0.123 0.712
W 0.088 0.924 0.212
W 0.088 0.434 0.713
Ni 0.718 0.595 0.213
Ni 0.458 0.226 0.213
! - Energy relative to the lowest polymorph listed for this composition: 254 meV per atom
! - Calculated volume: 11.833 A^3/atom
! - DFT formation energy: 0.01 eV/atom

---

- What is the formula in the fifth record?
  Nd3Y2In

---

- Which of these has the highest calculated volume?
  Rb3SBr